Version P
Crystalline Rb2ICl4 at its relaxed geometry. Source: Alexandria, functional PBE-GGA.

Output
* total moment: 0.000 μB/atom

Lattice parameters (Å, degrees): 11.6283 5.3733 9.5303 90.00 106.34 90.00
Element x y z (fractional)
1 Rb 0.6821 0.7500 0.0586
2 Rb 0.3179 0.2500 0.9414
3 Rb 0.3109 0.2500 0.4318
4 Rb 0.6891 0.7500 0.5682
5 I 0.1407 0.7500 0.1234
6 I 0.8593 0.2500 0.8766
7 Cl 0.5078 0.4995 0.2551
8 Cl 0.1517 0.7500 0.8567
9 Cl 0.8483 0.2500 0.1433
10 Cl 0.5078 0.0005 0.2551
11 Cl 0.8590 0.2500 0.6065
12 Cl 0.4922 0.9995 0.7449
13 Cl 0.4922 0.5005 0.7449
14 Cl 0.1410 0.7500 0.3935

---

Version Q
Crystalline Rb2ICl4 at its relaxed geometry. Source: Alexandria, functional PBE-GGA.

Output
* total moment: 0.143 μB/atom

Lattice parameters (Å, degrees): 5.6028 5.6028 9.5123 107.13 107.13 90.00
Each line ends with the local moment (μB).
Element x y z (fractional)
1 I 0.0000 0.0000 0.0000  0.35
2 Rb 0.6395 0.6395 0.2790  0.00
3 Rb 0.3605 0.3605 0.7210  0.00
4 Cl 0.8253 0.8253 0.6507  0.19
5 Cl 0.1747 0.1747 0.3493  0.19
6 Cl 0.0000 0.5000 0.0000  0.00
7 Cl 0.5000 0.0000 0.0000  0.00

---

Last place for stability: version Q

---

Version P
Crystalline Rb2ICl at its relaxed geometry. Source: Alexandria, functional PBE-GGA.

Output
* total moment: 0.000 μB/atom

Lattice parameters (Å, degrees): 4.2534 4.2534 8.5358 90.00 90.00 90.00
Element x y z (fractional)
1 I 0.5000 0.5000 0.5000
2 Rb 0.0000 0.0000 0.7703
3 Rb 0.0000 0.0000 0.2297
4 Cl 0.5000 0.5000 0.0000

---

Version Q
Crystalline Rb2ICl at its relaxed geometry. Source: Alexandria, functional PBE-GGA.

Output
* total moment: 0.000 μB/atom

Lattice parameters (Å, degrees): 4.8924 4.8924 9.0470 74.31 74.31 60.00
Element x y z (fractional)
1 Rb 0.0742 0.0742 0.7774
2 Rb 0.2591 0.2591 0.2226
3 I 0.4991 0.4991 0.5026
4 Cl 0.6675 0.6675 0.9974

---

Version R
Crystalline Rb2ICl at its relaxed geometry. Source: Alexandria, functional PBE-GGA.

Output
* total moment: 0.000 μB/atom

Lattice parameters (Å, degrees): 4.9817 4.9817 8.7707 73.50 73.50 60.00
Element x y z (fractional)
1 I 0.0000 0.0000 0.0000
2 Rb 0.7591 0.7591 0.7226
3 Rb 0.2409 0.2409 0.2774
4 Cl 0.5000 0.5000 0.5000

---

Last place for stability: version P

---

Version P
Crystalline Rb2ICl at its relaxed geometry. Source: Alexandria, functional PBE-GGA.

Output
* total moment: 0.000 μB/atom

Lattice parameters (Å, degrees): 6.0552 6.0552 6.0552 60.00 60.00 60.00
Element x y z (fractional)
1 I 0.5000 0.5000 0.5000
2 Rb 0.2500 0.2500 0.2500
3 Rb 0.7500 0.7500 0.7500
4 Cl 0.0000 0.0000 0.0000

---

Version Q
Crystalline Rb2ICl at its relaxed geometry. Source: Alexandria, functional PBE-GGA.

Output
* total moment: 0.000 μB/atom

Lattice parameters (Å, degrees): 8.9013 8.9013 8.1879 57.07 57.07 90.00
Element x y z (fractional)
1 I 0.0000 0.0000 0.0000
2 I 0.7500 0.2500 0.5000
3 Rb 0.5873 0.1250 0.2500
4 Rb 0.1627 0.6250 0.2500
5 Rb 0.3750 0.4127 0.7500
6 Rb 0.8750 0.8373 0.7500
7 Cl 0.5000 0.5000 0.0000
8 Cl 0.2500 0.7500 0.5000

---

Last place for stability: version P

---

Version P
Crystalline RbICl3 at its relaxed geometry. Source: Alexandria, functional PBE-GGA.

Output
* total moment: 0.000 μB/atom

Lattice parameters (Å, degrees): 5.3412 8.4148 9.4832 68.32 74.66 84.86
Element x y z (fractional)
1 Rb 0.0640 0.2605 0.7517
2 Rb 0.4209 0.6438 0.0306
3 I 0.8439 0.8372 0.5392
4 I 0.6408 0.0672 0.2429
5 Cl 0.4597 0.2698 0.9767
6 Cl 0.0249 0.6348 0.8054
7 Cl 0.4206 0.2771 0.3661
8 Cl 0.6304 0.0228 0.6961
9 Cl 0.8543 0.8816 0.0860
10 Cl 0.0640 0.6272 0.4161

---

Version Q
Crystalline RbICl3 at its relaxed geometry. Source: Alexandria, functional PBE-GGA.

Output
* total moment: 0.000 μB/atom

Lattice parameters (Å, degrees): 8.3019 8.3019 8.3629 60.24 60.24 90.00
Element x y z (fractional)
1 I 0.5000 0.5000 0.0000
2 I 0.0000 0.0000 0.0000
3 Rb 0.7500 0.2500 0.5000
4 Rb 0.2500 0.7500 0.5000
5 Cl 0.2147 0.2147 0.5705
6 Cl 0.7853 0.7853 0.4295
7 Cl 0.2820 0.2820 0.0000
8 Cl 0.7180 0.7180 0.0000
9 Cl 0.7180 0.2820 0.0000
10 Cl 0.2820 0.7180 0.0000

---

Version R
Crystalline RbICl3 at its relaxed geometry. Source: Alexandria, functional PBE-GGA.

Output
* total moment: 0.000 μB/atom

Lattice parameters (Å, degrees): 5.6708 5.6708 5.6708 90.00 90.00 90.00
Element x y z (fractional)
1 I 0.0000 0.0000 0.0000
2 Rb 0.5000 0.5000 0.5000
3 Cl 0.0000 0.5000 0.0000
4 Cl 0.0000 0.0000 0.5000
5 Cl 0.5000 0.0000 0.0000

---

Last place for stability: version R

---

Version P
Crystalline RbICl at its relaxed geometry. Source: Alexandria, functional PBE-GGA.

Output
* total moment: 0.071 μB/atom

Lattice parameters (Å, degrees): 6.2006 9.1168 9.5411 90.00 90.00 90.00
Each line ends with the local moment (μB).
Element x y z (fractional)
1 Rb 0.4989 0.2500 0.8134  0.00
2 Rb 0.9989 0.2500 0.1866  0.00
3 Rb 0.5011 0.7500 0.1866  0.00
4 Rb 0.0011 0.7500 0.8134  0.00
5 Cl 0.7500 0.5001 0.9996  0.17
6 Cl 0.7500 0.0001 0.9996  0.17
7 Cl 0.2500 0.4999 0.0004  0.17
8 Cl 0.2500 0.9999 0.0004  0.17
9 I 0.2500 0.0126 0.4998  0.00
10 I 0.2500 0.5126 0.4998  0.00
11 I 0.7500 0.9874 0.5002  0.00
12 I 0.7500 0.4874 0.5002  0.00

---

Version Q
Crystalline RbICl at its relaxed geometry. Source: Alexandria, functional PBE-GGA.

Output
* total moment: 0.000 μB/atom

Lattice parameters (Å, degrees): 4.7512 4.7198 13.0465 79.29 65.92 90.09
Element x y z (fractional)
1 Rb 0.6608 0.4203 0.5721
2 Rb 0.5287 0.0880 0.2505
3 I 0.7966 0.8109 0.7954
4 I 0.3953 0.6982 0.0272
5 Cl 0.2071 0.9377 0.5375
6 Cl 0.9827 0.5707 0.2849

---

Last place for stability: version P

---

Version P
Crystalline Rb4ICl2 at its relaxed geometry. Source: Alexandria, functional PBE-GGA.

Output
* total moment: 0.000 μB/atom

Lattice parameters (Å, degrees): 6.8156 6.8156 10.0022 70.08 70.08 90.00
Element x y z (fractional)
1 I 0.0000 0.0000 0.0000
2 Rb 0.2195 0.2195 0.5610
3 Rb 0.7805 0.7805 0.4390
4 Rb 0.0000 0.5000 0.0000
5 Rb 0.5000 0.0000 0.0000
6 Cl 0.3939 0.3939 0.2122
7 Cl 0.6061 0.6061 0.7878

---

Version Q
Crystalline Rb4ICl2 at its relaxed geometry. Source: Alexandria, functional PBE-GGA.

Output
* total moment: 0.000 μB/atom

Lattice parameters (Å, degrees): 4.9041 4.9041 16.8252 81.62 81.62 60.00
Element x y z (fractional)
1 I 0.0000 0.0000 0.0000
2 Rb 0.1229 0.1229 0.6312
3 Rb 0.2865 0.2865 0.1406
4 Rb 0.7135 0.7135 0.8594
5 Rb 0.8771 0.8771 0.3688
6 Cl 0.4181 0.4181 0.7456
7 Cl 0.5819 0.5819 0.2544

---

Last place for stability: version P

---

Version P
Crystalline RbI2Cl2 at its relaxed geometry. Source: Alexandria, functional PBE-GGA.

Output
* total moment: 0.000 μB/atom

Lattice parameters (Å, degrees): 4.7291 4.7291 11.3362 90.00 90.00 120.00
Element x y z (fractional)
1 Rb 0.0000 0.0000 0.0000
2 I 0.6667 0.3333 0.6058
3 I 0.3333 0.6667 0.3942
4 Cl 0.6667 0.3333 0.8438
5 Cl 0.3333 0.6667 0.1562

---

Version Q
Crystalline RbI2Cl2 at its relaxed geometry. Source: Alexandria, functional PBE-GGA.

Output
* total moment: 0.200 μB/atom

Lattice parameters (Å, degrees): 9.3364 9.3364 4.7243 90.00 90.00 90.00
Each line ends with the local moment (μB).
Element x y z (fractional)
1 I 0.1018 0.6018 0.5000  0.22
2 I 0.6018 0.8982 0.5000  0.22
3 I 0.8982 0.3982 0.5000  0.22
4 I 0.3982 0.1018 0.5000  0.22
5 Rb 0.0000 0.0000 0.0000  0.00
6 Rb 0.5000 0.5000 0.0000  0.00
7 Cl 0.2688 0.7688 0.0000  0.15
8 Cl 0.7688 0.7312 0.0000  0.15
9 Cl 0.7312 0.2312 0.0000  0.15
10 Cl 0.2312 0.2688 0.0000  0.15

---

Version R
Crystalline RbI2Cl2 at its relaxed geometry. Source: Alexandria, functional PBE-GGA.

Output
* total moment: 0.000 μB/atom

Lattice parameters (Å, degrees): 9.6290 9.6290 3.9630 90.00 90.00 90.00
Element x y z (fractional)
1 I 0.4007 0.9007 0.0000
2 I 0.9007 0.5993 0.0000
3 I 0.5993 0.0993 0.0000
4 I 0.0993 0.4007 0.0000
5 Rb 0.0000 0.0000 0.0000
6 Rb 0.5000 0.5000 0.0000
7 Cl 0.2241 0.7241 0.5000
8 Cl 0.7241 0.7759 0.5000
9 Cl 0.7759 0.2759 0.5000
10 Cl 0.2759 0.2241 0.5000

---

Last place for stability: version R

---

Version P
Crystalline RbSb2ICl at its relaxed geometry. Source: Alexandria, functional PBE-GGA.

Output
* total moment: 0.993 μB/atom

Lattice parameters (Å, degrees): 7.7934 7.7934 6.6524 90.00 90.00 90.00
Each line ends with the local moment (μB).
Element x y z (fractional)
1 I 0.0000 0.0000 0.5000  -0.05
2 Sb 0.0000 0.5000 0.0000  1.01
3 Sb 0.5000 0.0000 0.0000  1.01
4 Rb 0.0000 0.0000 0.0000  0.03
5 Cl 0.5000 0.5000 0.5000  -0.32

---

Version Q
Crystalline RbSb2ICl at its relaxed geometry. Source: Alexandria, functional PBE-GGA.

Output
* total moment: 0.000 μB/atom

Lattice parameters (Å, degrees): 5.2703 5.2703 7.9244 90.00 90.00 90.00
Element x y z (fractional)
1 I 0.0000 0.0000 0.5000
2 Sb 0.0000 0.5000 0.0000
3 Sb 0.5000 0.0000 0.0000
4 Rb 0.5000 0.5000 0.5000
5 Cl 0.0000 0.0000 0.0000

---

Last place for stability: version P

---

Version P
Crystalline ReICl3 at its relaxed geometry. Source: Alexandria, functional PBE-GGA.

Output
* total moment: 0.200 μB/atom

Lattice parameters (Å, degrees): 6.8641 7.5555 7.5555 68.97 62.98 62.98
Each line ends with the local moment (μB).
Element x y z (fractional)
1 Re 0.3081 0.0000 0.0000  0.71
2 Re 0.6919 0.0000 0.0000  0.71
3 I 0.1788 0.8212 0.8212  -0.01
4 I 0.8212 0.1788 0.1788  -0.01
5 Cl 0.6895 0.8105 0.8105  0.02
6 Cl 0.3105 0.1895 0.1895  0.02
7 Cl 0.2759 0.7308 0.2692  0.07
8 Cl 0.7241 0.7308 0.2692  0.07
9 Cl 0.7241 0.2692 0.7308  0.07
10 Cl 0.2759 0.2692 0.7308  0.07

---

Version Q
Crystalline ReICl3 at its relaxed geometry. Source: Alexandria, functional PBE-GGA.

Output
* total moment: 1.192 μB/atom

Lattice parameters (Å, degrees): 5.5906 5.5906 5.5906 90.00 90.00 90.00
Each line ends with the local moment (μB).
Element x y z (fractional)
1 I 0.0000 0.0000 0.0000  0.00
2 Re 0.5000 0.5000 0.5000  4.55
3 Cl 0.0000 0.5000 0.0000  0.07
4 Cl 0.0000 0.0000 0.5000  0.04
5 Cl 0.5000 0.0000 0.0000  0.04

---

Last place for stability: version Q

---

Version P
Crystalline ReI2Cl at its relaxed geometry. Source: Alexandria, functional PBE-GGA.

Output
* total moment: 0.000 μB/atom

Lattice parameters (Å, degrees): 7.4280 7.4280 7.1322 58.62 58.62 90.00
Element x y z (fractional)
1 I 0.7002 0.1250 0.2500
2 I 0.0498 0.6250 0.2500
3 I 0.3750 0.2998 0.7500
4 I 0.8750 0.9502 0.7500
5 Re 0.0000 0.0000 0.0000
6 Re 0.7500 0.2500 0.5000
7 Cl 0.5000 0.5000 0.0000
8 Cl 0.2500 0.7500 0.5000

---

Version Q
Crystalline ReI2Cl at its relaxed geometry. Source: Alexandria, functional PBE-GGA.

Output
* total moment: 0.000 μB/atom

Lattice parameters (Å, degrees): 4.9525 4.9525 4.9525 60.00 60.00 60.00
Element x y z (fractional)
1 I 0.2500 0.2500 0.2500
2 I 0.7500 0.7500 0.7500
3 Re 0.5000 0.5000 0.5000
4 Cl 0.0000 0.0000 0.0000

---

Last place for stability: version Q